Entry 1:
An optimized crystal structure of CsBr3Cl, computed with PBEsol.

Cell lengths 6.833, 6.833, 6.833 Å; angles 90.00, 90.00, 90.00 degrees
Sites, in units of the cell vectors:
Cs1 0.000 0.000 0.000
Br1 0.000 0.000 0.500
Br2 0.000 0.500 0.000
Br3 0.500 0.000 0.000
Cl1 0.500 0.500 0.500

Computed properties:
E_form (uncorrected) ... 180 meV/atom
SG ... Pm-3m, No. 221
Raw total energy ... -1.53 eV per atom
Crystal system ... cubic

---

Entry 2:
An optimized crystal structure of Sc2IrPt, computed with PBEsol.

Cell lengths 6.409, 6.409, 6.409 Å; angles 90.00, 90.00, 90.00 degrees
Sites, in units of the cell vectors:
Sc1 0.000 0.000 0.000
Sc2 0.000 0.500 0.500
Sc3 0.250 0.250 0.250
Sc4 0.250 0.750 0.750
Sc5 0.500 0.000 0.500
Sc6 0.500 0.500 0.000
Sc7 0.750 0.250 0.750
Sc8 0.750 0.750 0.250
Ir1 0.000 0.000 0.500
Ir2 0.000 0.500 0.000
Ir3 0.500 0.000 0.000
Ir4 0.500 0.500 0.500
Pt1 0.250 0.250 0.750
Pt2 0.250 0.750 0.250
Pt3 0.750 0.250 0.250
Pt4 0.750 0.750 0.750

Computed properties:
SG ... F-43m, No. 216
Raw total energy ... -8.13 eV per atom
Formation energy ... -0.628 eV per atom
Crystal system ... cubic

---

Entry 3:
An optimized crystal structure of Ti2Al2Pt, computed with PBEsol.

Cell lengths 6.318, 6.318, 3.962 Å; angles 90.00, 90.00, 90.00 degrees
Sites, in units of the cell vectors:
Ti1 0.164 0.336 0.000
Ti2 0.336 0.836 0.000
Ti3 0.664 0.164 0.000
Ti4 0.836 0.664 0.000
Al1 0.140 0.640 0.500
Al2 0.360 0.140 0.500
Al3 0.640 0.860 0.500
Al4 0.860 0.360 0.500
Pt1 0.000 0.000 0.500
Pt2 0.500 0.500 0.500

Computed properties:
SG ... P4/mbm, No. 127
Raw total energy ... -6.95 eV per atom
Formation energy ... -0.595 eV per atom
Crystal system ... tetragonal

---

Entry 4:
An optimized crystal structure of MgMo2P, computed with PBEsol.

Cell lengths 6.105, 6.105, 6.105 Å; angles 90.00, 90.00, 90.00 degrees
Sites, in units of the cell vectors:
Mg1 0.000 0.000 0.000
Mg2 0.000 0.500 0.500
Mg3 0.500 0.000 0.500
Mg4 0.500 0.500 0.000
Mo1 0.250 0.250 0.250
Mo2 0.250 0.250 0.750
Mo3 0.250 0.750 0.250
Mo4 0.250 0.750 0.750
Mo5 0.750 0.250 0.250
Mo6 0.750 0.250 0.750
Mo7 0.750 0.750 0.250
Mo8 0.750 0.750 0.750
P1 0.000 0.000 0.500
P2 0.000 0.500 0.000
P3 0.500 0.000 0.000
P4 0.500 0.500 0.500

Computed properties:
Distance to the lowest polymorph of the same formula ... 0.373 eV per atom
SG ... Fm-3m, No. 225
Raw total energy ... -7.40 eV per atom
Formation energy ... 0.357 eV per atom
Crystal system ... cubic

---

> Which formula does entry 3 have?

Ti2Al2Pt

---

> Which of these has the highest raw total energy?

CsBr3Cl

---

> Among the records above, which one has the highest raw total energy?

CsBr3Cl

---

> Among the records above, which one has the highest raw total energy?

CsBr3Cl